## RbAlH4 (GGA-PBE)

Data for a geometry-optimized RbAlH4 structure.

Raw total energy (eV per atom): -3.196
Volume (Å³/cell): 181.21
Spin magnetization (μB per formula unit): 0.0
Space-group type: Cmcm, No. 63

a b c (Å): 7.430 7.430 6.626
angles (deg): 90.00 90.00 150.30
Fractional coordinates of all 12 atoms:
Rb  0.140  0.860  0.750
Rb  0.860  0.140  0.250
Al  0.394  0.606  0.750
Al  0.606  0.394  0.250
H  0.105  0.895  0.250
H  0.331  0.669  0.545
H  0.331  0.669  0.955
H  0.494  0.506  0.250
H  0.506  0.494  0.750
H  0.669  0.331  0.045
H  0.669  0.331  0.455
H  0.895  0.105  0.750